Density functional theory data (PBE) for a relaxed structure of CsRb8O2.

Output
Crystal system: monoclinic
Energy relative to the elements, uncorrected (eV/atom): -0.52
Magnetization (μB per cell): 0.00

Lattice parameters (Å, degrees): 8.582 8.582 9.470 92.72 92.72 105.56
Positions (direct):
Cs  0.000  0.000  0.000
Rb  0.093  0.684  0.269
Rb  0.152  0.152  0.420
Rb  0.316  0.907  0.731
Rb  0.365  0.365  0.791
Rb  0.635  0.635  0.209
Rb  0.684  0.093  0.269
Rb  0.848  0.848  0.580
Rb  0.907  0.316  0.731
O  0.107  0.107  0.709
O  0.893  0.893  0.291